{
  "formula": "Ba2CuPI",
  "functional": "PBE",
  "state": "optimized geometry",
  "lattice_angstrom": [[-5.3591, 2.2304, 2.5777], [-3.4063, -3.3240, -4.2056], [-0.0874, -3.3706, 2.7348]],
  "species": ["Cu", "P", "Ba", "Ba", "I"],
  "fractional_positions": [[0.0000, 0.0000, 0.5000], [0.0000, 0.0000, 0.0000], [0.5000, 0.0000, 0.0000], [0.0000, 0.5000, 0.0000], [0.5000, 0.5000, 0.5000]]
}



{
  "formula": "Ba8CuP3I3",
  "functional": "PBE",
  "state": "optimized geometry",
  "lattice_angstrom": [[9.5021, 0.0005, 0.0000], [-4.7506, 8.2302, -0.0311], [-0.0003, -5.4563, 8.3001]],
  "species": ["P", "I", "P", "Cu", "Ba", "Ba", "I", "Ba", "Ba", "Ba", "Ba", "Ba", "Ba", "I", "P"],
  "fractional_positions": [[0.5000, 0.0000, 0.5000], [0.0000, 0.0000, 0.0000], [0.5000, 0.5000, 0.5000], [0.0000, 0.0000, 0.5000], [0.7533, 0.0340, 0.2873], [0.2807, 0.0340, 0.2873], [0.0000, 0.5000, 0.0000], [0.2465, 0.4931, 0.7126], [0.7535, 0.5069, 0.2874], [0.7193, 0.9660, 0.7127], [0.2467, 0.9660, 0.7127], [0.7348, 0.4696, 0.7044], [0.2652, 0.5304, 0.2956], [0.5000, 0.5000, 0.0000], [0.0000, 0.5000, 0.5000]]
}



{
  "formula": "Ba8CuPd3I4",
  "functional": "PBE",
  "state": "optimized geometry",
  "lattice_angstrom": [[-3.0962, 7.1307, 5.1596], [-9.0081, -4.8862, 1.3472], [7.7060, -4.5995, 2.5447]],
  "species": ["Pd", "I", "I", "Ba", "Pd", "Ba", "Ba", "Ba", "I", "Pd", "I", "Ba", "Ba", "Cu", "Ba", "Ba"],
  "fractional_positions": [[0.0000, 0.5000, 0.5000], [0.0000, 0.0000, 0.5000], [0.5000, 0.0000, 0.5000], [0.2689, 0.2952, 0.0318], [0.5000, 0.5000, 0.5000], [0.7342, 0.7023, 0.4685], [0.2658, 0.2977, 0.5315], [0.2371, 0.7048, 0.9682], [0.0000, 0.0000, 0.0000], [0.5000, 0.5000, 0.0000], [0.5000, 0.0000, 0.0000], [0.7629, 0.2952, 0.0318], [0.7311, 0.7048, 0.9682], [0.0000, 0.5000, 0.0000], [0.7631, 0.2954, 0.5262], [0.2369, 0.7046, 0.4738]]
}



Computed formation energy (no corrections), in the same sequence as the records: -0.86 -1.08 -0.91 eV/atom.
Computed E, in the same sequence as the records: -0.2826 -0.2770 -0.2564 Ry/atom.